(1)
Crystalline Er2MgPb5 at its relaxed geometry. Source: the Alexandria database, functional PBE.

Cell: 4.956 6.669 13.375 Å, 90.00 90.00 90.00°
Fractional positions:
Er1 0.500 0.291 0.363
Er2 0.500 0.709 0.637
Er3 0.500 0.791 0.137
Er4 0.500 0.209 0.863
Pb1 0.000 0.000 0.000
Pb2 0.000 0.537 0.242
Pb3 0.000 0.963 0.742
Pb4 0.000 0.463 0.758
Pb5 0.500 0.212 0.612
Pb6 0.500 0.288 0.112
Pb7 0.000 0.037 0.258
Pb8 0.500 0.712 0.888
Pb9 0.000 0.500 0.500
Pb10 0.500 0.788 0.388
Mg1 0.000 0.500 0.000
Mg2 0.000 0.000 0.500

Properties
DFT total energy = -3.94 eV per atom
Total moment = 0.00 μB/cell



(2)
Crystalline TiMnCuTc2 at its relaxed geometry. Source: the Alexandria database, functional PBE.

Cell: 4.470 4.471 4.470 Å, 90.00 90.00 90.00°
Last column: magnetic moment on the atom in μB.
Fractional positions:
Ti1 0.000 0.000 0.000  -0.19
Tc1 0.000 0.000 0.500  -0.37
Tc2 0.500 0.000 0.000  -0.70
Mn1 0.000 0.500 0.000  3.12
Cu1 0.500 0.500 0.500  -0.01

Properties
Total moment = 1.89 μB/cell
Distance to the lowest polymorph of the same formula = 0.0 kJ/mol of atoms



(3)
Crystalline P2C at its relaxed geometry. Source: the Alexandria database, functional PBE.

Cell: 3.763 3.763 5.163 Å, 90.00 90.00 90.00°
Fractional positions:
P1 0.000 0.500 0.491
P2 0.500 0.500 0.000
P3 0.000 0.000 0.000
P4 0.500 0.000 0.509
C1 0.500 0.000 0.871
C2 0.000 0.500 0.129

Properties
Total moment = 0.00 μB/cell
Distance to the lowest polymorph of the same formula = 49.6 kJ/mol of atoms



Number 1: Fermi-level density of states 0.371 states/eV per atom. Number 2: Fermi-level density of states 1.088 states/eV per atom. Number 3: Fermi-level density of states 0.399 states/eV per atom.